{
  "formula": "ZrPAu",
  "functional": "GGA-PBE",
  "state": "optimized geometry",
  "delta_e_f_ev_per_atom": -0.52,
  "sg": "I4mm, No. 107",
  "crystal_system": "tetragonal",
  "lattice_angstrom": [[-1.745, 1.745, 4.741], [1.745, -1.745, 4.741], [1.745, 1.745, -4.741]],
  "species": ["P", "Au", "Zr"],
  "fractional_positions": [[0.296, 0.296, 0.000], [0.006, 0.006, 0.000], [0.698, 0.698, 0.000]]
}